Entry 1:
## RbSn2Cl4 (PBE)

Data for an optimized crystal structure of RbSn2Cl4.

Summary:
Raw formation energy ... -1082.3 meV/atom
Volume ... 443.2 Å³/cell
N(E_F) ... 2.27 states/eV per cell
Theoretical density ... 3.48 g/cm3
Offset from the most stable computed form ... 0 meV/atom
SG ... Cmcm (63)
Crystal system ... orthorhombic

a = 6.687 Å, b = 6.687 Å, c = 14.396 Å
α = 90.00°, β = 90.00°, γ = 136.49°
Element x y z (fractional)
Rb 0.132 0.868 0.750
Rb 0.868 0.132 0.250
Sn 0.382 0.618 0.557
Sn 0.382 0.618 0.943
Sn 0.618 0.382 0.057
Sn 0.618 0.382 0.443
Cl 0.000 0.000 0.000
Cl 0.000 0.000 0.500
Cl 0.264 0.736 0.107
Cl 0.264 0.736 0.393
Cl 0.454 0.546 0.750
Cl 0.546 0.454 0.250
Cl 0.736 0.264 0.607
Cl 0.736 0.264 0.893

Entry 2:
## MgCuSnS4 (PBE)

Data for an optimized crystal structure of MgCuSnS4.

Summary:
Raw formation energy ... -557.7 meV/atom
Volume ... 284.1 Å³/cell
N(E_F) ... 11.86 states/eV per cell
Theoretical density ... 3.91 g/cm3
SG ... Imma (74)
Crystal system ... orthorhombic

a = 7.372 Å, b = 7.372 Å, c = 7.372 Å
α = 120.78°, β = 118.79°, γ = 90.38°
Element x y z (fractional)
Mg 0.500 0.000 0.000
Mg 0.500 0.500 0.500
Cu 0.111 0.361 0.750
Cu 0.889 0.639 0.250
Sn 0.000 0.000 0.000
Sn 0.500 0.000 0.500
S 0.252 0.253 0.501
S 0.252 0.751 0.999
S 0.254 0.245 0.009
S 0.263 0.755 0.509
S 0.737 0.245 0.491
S 0.746 0.755 0.991
S 0.748 0.249 0.001
S 0.748 0.747 0.499

Entry 3:
## Tl2Ir (PBE)

Data for an optimized crystal structure of Tl2Ir.

Summary:
Volume ... 143.9 Å³/cell
N(E_F) ... 1.08 states/eV per cell
Theoretical density ... 13.87 g/cm3
SG ... Cmcm (63)
DFT formation energy ... 0.345 eV/atom
Crystal system ... orthorhombic

a = 10.002 Å, b = 10.002 Å, c = 4.667 Å
α = 90.00°, β = 90.00°, γ = 162.05°
Element x y z (fractional)
Tl 0.064 0.936 0.750
Tl 0.196 0.804 0.250
Tl 0.804 0.196 0.750
Tl 0.936 0.064 0.250
Ir 0.429 0.571 0.750
Ir 0.571 0.429 0.250

Entry 4:
## MnCuTe3 (PBE)

Data for an optimized crystal structure of MnCuTe3.

Summary:
Raw formation energy ... -107.6 meV/atom
Volume ... 509.5 Å³/cell
N(E_F) ... 10.05 states/eV per cell
Theoretical density ... 6.53 g/cm3
Offset from the most stable computed form ... 0 meV/atom
SG ... C2/c (15)
Crystal system ... monoclinic

a = 8.702 Å, b = 8.702 Å, c = 6.942 Å
α = 100.04°, β = 100.04°, γ = 86.90°
Element x y z (fractional)
Mn 0.084 0.916 0.750
Mn 0.249 0.751 0.250
Mn 0.751 0.249 0.750
Mn 0.916 0.084 0.250
Cu 0.240 0.415 0.679
Cu 0.415 0.240 0.179
Cu 0.585 0.760 0.821
Cu 0.760 0.585 0.321
Te 0.032 0.198 0.631
Te 0.103 0.642 0.872
Te 0.198 0.032 0.131
Te 0.263 0.470 0.338
Te 0.358 0.897 0.628
Te 0.470 0.263 0.838
Te 0.530 0.737 0.162
Te 0.642 0.103 0.372
Te 0.737 0.530 0.662
Te 0.802 0.968 0.869
Te 0.897 0.358 0.128
Te 0.968 0.802 0.369

Entry 5:
## ScIr2Rh (PBE)

Data for an optimized crystal structure of ScIr2Rh.

Summary:
Volume ... 61.6 Å³/cell
N(E_F) ... 2.35 states/eV per cell
Theoretical density ... 14.35 g/cm3
SG ... C2/m (12)
DFT formation energy ... -0.472 eV/atom
Crystal system ... monoclinic

a = 4.856 Å, b = 4.856 Å, c = 4.766 Å
α = 100.13°, β = 100.13°, γ = 33.89°
Element x y z (fractional)
Sc 0.000 0.000 0.000
Ir 0.249 0.249 0.741
Ir 0.751 0.751 0.259
Rh 0.500 0.500 0.500

Entry 6:
## V2SiTc3 (PBE)

Data for an optimized crystal structure of V2SiTc3.

Summary:
Raw formation energy ... -430.4 meV/atom
Volume ... 163.3 Å³/cell
N(E_F) ... 9.83 states/eV per cell
Theoretical density ... 8.62 g/cm3
SG ... Cmmm (65)
Crystal system ... orthorhombic

a = 6.727 Å, b = 6.727 Å, c = 6.009 Å
α = 90.00°, β = 90.00°, γ = 143.09°
Element x y z (fractional)
V 0.000 0.000 0.000
V 0.000 0.000 0.500
V 0.333 0.667 0.000
V 0.667 0.333 0.000
Si 0.339 0.661 0.500
Si 0.661 0.339 0.500
Tc 0.169 0.831 0.253
Tc 0.169 0.831 0.747
Tc 0.500 0.500 0.247
Tc 0.500 0.500 0.753
Tc 0.831 0.169 0.253
Tc 0.831 0.169 0.747

Entry 7:
## Pu8Tc5Ru (PBE)

Data for an optimized crystal structure of Pu8Tc5Ru.

Summary:
Volume ... 296.4 Å³/cell
N(E_F) ... 44.81 states/eV per cell
Theoretical density ... 14.25 g/cm3
SG ... I-4 (82)
DFT formation energy ... 0.122 eV/atom
Crystal system ... tetragonal

a = 7.292 Å, b = 7.292 Å, c = 7.292 Å
α = 106.77°, β = 106.77°, γ = 115.02°
Element x y z (fractional)
Pu 0.249 0.514 0.041
Pu 0.344 0.042 0.326
Pu 0.472 0.208 0.959
Pu 0.486 0.528 0.736
Pu 0.716 0.018 0.674
Pu 0.792 0.751 0.264
Pu 0.958 0.284 0.302
Pu 0.982 0.656 0.698
Tc 0.090 0.079 0.629
Tc 0.250 0.750 0.500
Tc 0.450 0.461 0.371
Tc 0.539 0.910 0.989
Tc 0.921 0.550 0.011
Ru 0.000 0.000 0.000

Entry 8:
## Pr2PuO (PBE)

Data for an optimized crystal structure of Pr2PuO.

Summary:
Raw formation energy ... -986.6 meV/atom
Volume ... 106.8 Å³/cell
N(E_F) ... 11.63 states/eV per cell
Theoretical density ... 8.42 g/cm3
Offset from the most stable computed form ... 0 meV/atom
SG ... R-3m (166)
Crystal system ... trigonal

a = 9.737 Å, b = 9.737 Å, c = 9.737 Å
α = 21.32°, β = 21.32°, γ = 21.32°
Element x y z (fractional)
Pr 0.117 0.117 0.117
Pr 0.883 0.883 0.883
Pu 0.000 0.000 0.000
O 0.500 0.500 0.500

Entry 9:
## KAg2Se (PBE)

Data for an optimized crystal structure of KAg2Se.

Summary:
Raw formation energy ... -22.3 meV/atom
Volume ... 94.5 Å³/cell
N(E_F) ... 1.78 states/eV per cell
Theoretical density ... 5.86 g/cm3
SG ... P4/mmm (123)
Crystal system ... tetragonal

a = 4.424 Å, b = 4.424 Å, c = 4.831 Å
α = 90.00°, β = 90.00°, γ = 90.00°
Element x y z (fractional)
K 0.000 0.000 0.000
Ag 0.000 0.500 0.500
Ag 0.500 0.000 0.500
Se 0.500 0.500 0.000

Entry 10:
## La8AsIr3Cl4 (PBE)

Data for an optimized crystal structure of La8AsIr3Cl4.

Summary:
Raw formation energy ... -1372.4 meV/atom
Volume ... 469.4 Å³/cell
N(E_F) ... 11.60 states/eV per cell
Theoretical density ... 6.74 g/cm3
SG ... R-3m (166)
Crystal system ... trigonal

a = 8.947 Å, b = 8.947 Å, c = 8.947 Å
α = 56.83°, β = 56.83°, γ = 56.83°
Element x y z (fractional)
La 0.222 0.744 0.744
La 0.236 0.236 0.236
La 0.256 0.256 0.778
La 0.256 0.778 0.256
La 0.744 0.222 0.744
La 0.744 0.744 0.222
La 0.764 0.764 0.764
La 0.778 0.256 0.256
As 0.500 0.500 0.500
Ir 0.000 0.000 0.500
Ir 0.000 0.500 0.000
Ir 0.500 0.000 0.000
Cl 0.000 0.000 0.000
Cl 0.000 0.500 0.500
Cl 0.500 0.000 0.500
Cl 0.500 0.500 0.000

Entry 11:
## Tl2SnI (PBE)

Data for an optimized crystal structure of Tl2SnI.

Summary:
Raw formation energy ... 14.4 meV/atom
Volume ... 386.3 Å³/cell
N(E_F) ... 2.31 states/eV per cell
Theoretical density ... 5.63 g/cm3
Offset from the most stable computed form ... 0 meV/atom
SG ... I-42d (122)
Crystal system ... tetragonal

a = 9.314 Å, b = 9.314 Å, c = 9.314 Å
α = 135.88°, β = 135.88°, γ = 64.17°
Element x y z (fractional)
Tl 0.079 0.625 0.954
Tl 0.375 0.329 0.454
Tl 0.671 0.125 0.046
Tl 0.875 0.921 0.546
Sn 0.000 0.000 0.000
Sn 0.750 0.250 0.500
I 0.250 0.750 0.500
I 0.500 0.500 0.000

Entry 12:
## Pr2Dy5Ho12 (PBE)

Data for an optimized crystal structure of Pr2Dy5Ho12.

Summary:
Volume ... 616.8 Å³/cell
N(E_F) ... 26.86 states/eV per cell
Theoretical density ... 8.27 g/cm3
SG ... C2/m (12)
DFT formation energy ... 0.135 eV/atom
Crystal system ... monoclinic

a = 9.121 Å, b = 9.121 Å, c = 8.510 Å
α = 91.01°, β = 91.01°, γ = 60.61°
Element x y z (fractional)
Pr 0.186 0.814 0.000
Pr 0.814 0.186 0.000
Dy 0.198 0.198 0.009
Dy 0.268 0.268 0.424
Dy 0.500 0.500 0.500
Dy 0.732 0.732 0.576
Dy 0.802 0.802 0.991
Ho 0.057 0.057 0.329
Ho 0.065 0.682 0.348
Ho 0.163 0.524 0.755
Ho 0.318 0.935 0.652
Ho 0.406 0.406 0.117
Ho 0.476 0.837 0.245
Ho 0.524 0.163 0.755
Ho 0.594 0.594 0.883
Ho 0.682 0.065 0.348
Ho 0.837 0.476 0.245
Ho 0.935 0.318 0.652
Ho 0.943 0.943 0.671